Version a
VASP calculation (PBE-GGA) on crystalline BaLiCoW at its relaxed geometry.

## Properties
Space group: F-43m

a b c (Å): 4.800 4.800 4.800
angles (deg): 60.00 60.00 60.00
Fractional positions:
Ba 0.000 0.000 0.000
Li 0.250 0.250 0.250
Co 0.750 0.750 0.750
W 0.500 0.500 0.500

Version b
VASP calculation (PBE-GGA) on crystalline BaLiCoW at its relaxed geometry.

## Properties
Space group: F-43m

a b c (Å): 4.702 4.702 4.702
angles (deg): 60.00 60.00 60.00
Fractional positions:
Ba 0.000 0.000 0.000
Li 0.750 0.750 0.750
Co 0.500 0.500 0.500
W 0.250 0.250 0.250

Tell me which of them is the least stable. Sure, it is version a.

Version a
VASP calculation (PBE-GGA) on crystalline BaLuCo at its relaxed geometry.

## Properties
Space group: F-43m

a b c (Å): 4.866 4.866 4.866
angles (deg): 60.00 60.00 60.00
Fractional positions:
Ba 0.000 0.000 0.000
Lu 0.250 0.250 0.250
Co 0.750 0.750 0.750

Version b
VASP calculation (PBE-GGA) on crystalline BaLuCo at its relaxed geometry.

## Properties
Space group: F-43m

a b c (Å): 4.921 4.921 4.921
angles (deg): 60.00 60.00 60.00
Fractional positions:
Ba 0.000 0.000 0.000
Lu 0.500 0.500 0.500
Co 0.250 0.250 0.250

Tell me which of them is the least stable. Sure, it is version a.

Version a
VASP calculation (PBE-GGA) on crystalline BaNaCoW at its relaxed geometry.

## Properties
Space group: F-43m

a b c (Å): 4.993 4.993 4.993
angles (deg): 60.00 60.00 60.00
Fractional positions:
Ba 0.000 0.000 0.000
Na 0.250 0.250 0.250
Co 0.750 0.750 0.750
W 0.500 0.500 0.500

Version b
VASP calculation (PBE-GGA) on crystalline BaNaCoW at its relaxed geometry.

## Properties
Space group: F-43m

a b c (Å): 4.848 4.848 4.848
angles (deg): 60.00 60.00 60.00
Fractional positions:
Ba 0.000 0.000 0.000
Na 0.750 0.750 0.750
Co 0.500 0.500 0.500
W 0.250 0.250 0.250

Tell me which of them is the least stable. Sure, it is version a.

Version a
VASP calculation (PBE-GGA) on crystalline BaNbCo at its relaxed geometry.

## Properties
Space group: F-43m

a b c (Å): 4.595 4.595 4.595
angles (deg): 60.00 60.00 60.00
Fractional positions:
Ba 0.000 0.000 0.000
Nb 0.250 0.250 0.250
Co 0.750 0.750 0.750

Version b
VASP calculation (PBE-GGA) on crystalline BaNbCo at its relaxed geometry.

## Properties
Space group: F-43m

a b c (Å): 4.746 4.746 4.746
angles (deg): 60.00 60.00 60.00
Fractional positions:
Ba 0.000 0.000 0.000
Nb 0.500 0.500 0.500
Co 0.250 0.250 0.250

Tell me which of them is the least stable. Sure, it is version a.

Version a
VASP calculation (PBE-GGA) on crystalline BaNpCo at its relaxed geometry.

## Properties
Space group: F-43m

a b c (Å): 4.616 4.616 4.616
angles (deg): 60.00 60.00 60.00
Fractional positions:
Ba 0.000 0.000 0.000
Np 0.250 0.250 0.250
Co 0.750 0.750 0.750

Version b
VASP calculation (PBE-GGA) on crystalline BaNpCo at its relaxed geometry.

## Properties
Space group: F-43m

a b c (Å): 4.899 4.899 4.899
angles (deg): 60.00 60.00 60.00
Fractional positions:
Ba 0.000 0.000 0.000
Np 0.500 0.500 0.500
Co 0.250 0.250 0.250

Tell me which of them is the least stable. Sure, it is version a.